[1]
A plane-wave DFT calculation with PBE was carried out for Nd4GeSe2 after structural relaxation.

## Properties
energy: -5.6756 eV per atom
V: 404 Å³ per cell
spin magnetization: 0.00 μB/cell
energy above the most stable polymorph in this dataset: 0.000 eV/atom
uncorrected formation energy: -1296 meV/atom

abc: 4.1845 7.1458 14.1130
angles: 90.00 90.00 107.03
Sites, in units of the cell vectors:
Ge 0.3957 0.7915 0.2500
Ge 0.6043 0.2085 0.7500
Nd 0.7812 0.5624 0.3732
Nd 0.5000 0.0000 0.5000
Nd 0.7812 0.5624 0.1268
Nd 0.0509 0.1017 0.2500
Nd 0.2188 0.4376 0.6268
Nd 0.9491 0.8983 0.7500
Nd 0.5000 0.0000 0.0000
Nd 0.2188 0.4376 0.8732
Se 0.8600 0.7200 0.9364
Se 0.1400 0.2800 0.0636
Se 0.1400 0.2800 0.4364
Se 0.8600 0.7200 0.5636

[2]
A plane-wave DFT calculation with PBE was carried out for Ba3Ga2Pt4Pb2 after structural relaxation.

## Properties
energy: -4.5269 eV per atom
V: 311 Å³ per cell
spin magnetization: 0.00 μB/cell
E_form: -0.581 eV/atom

abc: 4.5538 4.5538 17.3123
angles: 90.00 90.00 120.00
Sites, in units of the cell vectors:
Ba 0.0000 0.0000 0.2698
Ba 0.0000 0.0000 0.0000
Ba 0.0000 0.0000 0.7302
Pt 0.3333 0.6667 0.3904
Pt 0.6667 0.3333 0.1326
Pt 0.6667 0.3333 0.6096
Pt 0.3333 0.6667 0.8674
Ga 0.3333 0.6667 0.1352
Ga 0.6667 0.3333 0.8648
Pb 0.3333 0.6667 0.5630
Pb 0.6667 0.3333 0.4370

[3]
A plane-wave DFT calculation with PBE was carried out for Sb3Ru5O12 after structural relaxation.

## Properties
energy: -6.5330 eV per atom
V: 1070 Å³ per cell
spin magnetization: 0.00 μB/cell
uncorrected formation energy: -621 meV/atom

abc: 11.1596 11.1596 11.1596
angles: 109.47 109.47 109.47
Sites, in units of the cell vectors:
O 0.4736 0.6678 0.1112
O 0.3057 0.8623 0.9736
O 0.9434 0.8322 0.8057
O 0.3888 0.0264 0.3322
O 0.1112 0.9434 0.1377
O 0.1377 0.6943 0.5264
O 0.1678 0.0566 0.6943
O 0.6377 0.0264 0.1943
O 0.6678 0.4736 0.6112
O 0.1678 0.1112 0.9736
O 0.3888 0.3623 0.5566
O 0.0264 0.3888 0.8322
O 0.5264 0.3322 0.8888
O 0.0264 0.6377 0.6943
O 0.8623 0.5566 0.8888
O 0.6112 0.6377 0.4434
O 0.9434 0.1112 0.6377
O 0.1943 0.5264 0.6377
O 0.8057 0.3322 0.9434
O 0.5566 0.6943 0.6678
O 0.1377 0.4434 0.1112
O 0.8322 0.9434 0.3057
O 0.9736 0.3623 0.3057
O 0.1943 0.6678 0.0566
O 0.0566 0.1678 0.1943
O 0.4736 0.8057 0.8623
O 0.8322 0.8888 0.0264
O 0.6678 0.1943 0.5566
O 0.6112 0.9736 0.6678
O 0.8057 0.4736 0.3623
O 0.1112 0.1678 0.4736
O 0.8888 0.0566 0.8623
O 0.3623 0.9736 0.8057
O 0.4434 0.3057 0.3322
O 0.0566 0.8888 0.3623
O 0.6943 0.1377 0.0264
O 0.5264 0.1943 0.1377
O 0.3057 0.4434 0.8322
O 0.3322 0.8057 0.4434
O 0.5566 0.8623 0.3888
O 0.6943 0.5566 0.1678
O 0.3322 0.5264 0.3888
O 0.8888 0.8322 0.5264
O 0.9736 0.6112 0.1678
O 0.4434 0.1377 0.6112
O 0.8623 0.3057 0.4736
O 0.3623 0.3888 0.0566
O 0.6377 0.6112 0.9434
Ru 0.5000 0.5000 0.5000
Ru 0.3750 0.2500 0.1250
Ru 0.1250 0.7500 0.3750
Ru 0.0000 0.5000 0.0000
Ru 0.6250 0.7500 0.8750
Ru 0.5000 0.0000 0.0000
Ru 0.8750 0.2500 0.6250
Ru 0.2500 0.3750 0.6250
Ru 0.0000 0.0000 0.0000
Ru 0.0000 0.5000 0.5000
Ru 0.1250 0.3750 0.2500
Ru 0.8750 0.6250 0.7500
Ru 0.2500 0.8750 0.1250
Ru 0.7500 0.6250 0.3750
Ru 0.0000 0.0000 0.5000
Ru 0.7500 0.1250 0.8750
Ru 0.5000 0.0000 0.5000
Ru 0.6250 0.8750 0.2500
Ru 0.5000 0.5000 0.0000
Ru 0.3750 0.1250 0.7500
Sb 0.2500 0.6250 0.8750
Sb 0.7500 0.3750 0.1250
Sb 0.8750 0.1250 0.2500
Sb 0.1250 0.2500 0.8750
Sb 0.6250 0.2500 0.3750
Sb 0.7500 0.8750 0.6250
Sb 0.3750 0.6250 0.2500
Sb 0.1250 0.8750 0.7500
Sb 0.2500 0.1250 0.3750
Sb 0.3750 0.7500 0.6250
Sb 0.8750 0.7500 0.1250
Sb 0.6250 0.3750 0.7500

[4]
A plane-wave DFT calculation with PBE was carried out for Pm2SnPd9 after structural relaxation.

## Properties
energy: -5.7140 eV per atom
V: 213 Å³ per cell
spin magnetization: 0.00 μB/cell
E_form: -0.694 eV/atom

abc: 4.1575 4.1575 12.2994
angles: 90.00 90.00 90.00
Sites, in units of the cell vectors:
Pd 0.0000 0.5000 0.8442
Pd 0.0000 0.5000 0.1558
Pd 0.5000 0.0000 0.8442
Pd 0.5000 0.5000 0.6728
Pd 0.5000 0.5000 0.0000
Pd 0.0000 0.5000 0.5000
Pd 0.5000 0.0000 0.5000
Pd 0.5000 0.0000 0.1558
Pd 0.5000 0.5000 0.3272
Pm 0.0000 0.0000 0.6702
Pm 0.0000 0.0000 0.3298
Sn 0.0000 0.0000 0.0000

[5]
A plane-wave DFT calculation with PBE was carried out for Ac2SmGe2Pd7 after structural relaxation.

## Properties
energy: -5.6907 eV per atom
V: 253 Å³ per cell
spin magnetization: 0.00 μB/cell
E_form: -0.814 eV/atom

abc: 4.2655 4.2655 14.0462
angles: 84.65 84.65 89.35
Sites, in units of the cell vectors:
Pd 0.3849 0.3849 0.4243
Pd 0.9530 0.4550 0.1491
Pd 0.5000 0.5000 0.0000
Pd 0.5450 0.0470 0.8509
Pd 0.0470 0.5450 0.8509
Pd 0.6151 0.6151 0.5757
Pd 0.4550 0.9530 0.1491
Sm 0.0000 0.0000 0.0000
Ge 0.4245 0.4245 0.2422
Ge 0.5755 0.5755 0.7578
Ac 0.8987 0.8987 0.3514
Ac 0.1013 0.1013 0.6486

[6]
A plane-wave DFT calculation with PBE was carried out for VSn3Sb after structural relaxation.

## Properties
energy: -3.8839 eV per atom
V: 181 Å³ per cell
spin magnetization: 3.73 μB/cell
energy above the most stable polymorph in this dataset: 0.779 eV/atom
uncorrected formation energy: 1166 meV/atom

abc: 5.6575 5.6575 5.6575
angles: 90.00 90.00 90.00
Sites, in units of the cell vectors:
Sn 0.0000 0.0000 0.5000
Sn 0.5000 0.0000 0.0000
Sn 0.0000 0.5000 0.0000
Sb 0.0000 0.0000 0.0000
V 0.5000 0.5000 0.5000

[7]
A plane-wave DFT calculation with PBE was carried out for CsSr2Ca after structural relaxation.

## Properties
energy: -1.3716 eV per atom
V: 234 Å³ per cell
spin magnetization: 0.00 μB/cell
E_form: 0.183 eV/atom
energy above the most stable polymorph in this dataset: 0.076 eV/atom

abc: 6.9123 6.9123 6.9123
angles: 60.00 60.00 60.00
Sites, in units of the cell vectors:
Sr 0.7500 0.7500 0.7500
Sr 0.2500 0.2500 0.2500
Cs 0.5000 0.5000 0.5000
Ca 0.0000 0.0000 0.0000

[8]
A plane-wave DFT calculation with PBE was carried out for WSe2I after structural relaxation.

## Properties
energy: -5.3936 eV per atom
V: 128 Å³ per cell
spin magnetization: 0.00 μB/cell
energy above the most stable polymorph in this dataset: 0.255 eV/atom
uncorrected formation energy: -25 meV/atom

abc: 3.2824 6.7930 6.8785
angles: 119.75 91.15 102.92
Sites, in units of the cell vectors:
I 0.4408 0.1383 0.4798
W 0.1161 0.4863 0.8175
Se 0.7507 0.7769 0.8248
Se 0.6280 0.4870 0.0941